1.
An optimized crystal structure of ZrSc3Cd, computed with PBE-GGA.

The space group is Pm-3m (No. 221) and the conventional cell measures 5.1781, 5.1781 and 5.1781 Å, with angles of 90.00, 90.00 and 90.00 degrees. Symmetry generates all atoms from Zr at (0.0000, 0.0000, 0.0000), Sc at (0.0000, 0.0000, 0.5000) and Cd at (0.5000, 0.5000, 0.5000).

The calculation puts the excess energy over the best structure of this formula in the dataset at 763 meV per atom.


2.
An optimized crystal structure of ZrSc5Cd4, computed with PBE-GGA.

The space group is P4/mmm (No. 123) and the conventional cell measures 3.3952, 3.3952 and 19.4862 Å, with angles of 90.00, 90.00 and 90.00 degrees. Symmetry generates all atoms from Zr at (0.0000, 0.0000, 0.0000), Sc at (0.5000, 0.5000, 0.1065), Sc at (0.5000, 0.5000, 0.3068), Sc at (0.5000, 0.5000, 0.5000), Cd at (0.0000, 0.0000, 0.2076) and Cd at (0.0000, 0.0000, 0.4036).


3.
An optimized crystal structure of ZrSc6Cd, computed with PBE-GGA.

The space group is P4/mmm (No. 123) and the conventional cell measures 4.5424, 4.5424 and 9.1194 Å, with angles of 90.00, 90.00 and 90.00 degrees. Symmetry generates all atoms from Zr at (0.0000, 0.0000, 0.0000), Sc at (0.0000, 0.5000, 0.2465), Sc at (0.5000, 0.5000, 0.0000), Sc at (0.5000, 0.5000, 0.5000) and Cd at (0.0000, 0.0000, 0.5000).


4.
An optimized crystal structure of Zr4Sc2Cd5, computed with PBE-GGA.

The space group is P-1 (No. 2) and the conventional cell measures 3.1541, 7.7455 and 10.4915 Å, with angles of 89.00, 89.80 and 78.50 degrees. Symmetry generates all atoms from Zr at (0.1931, 0.1167, 0.0922), Zr at (0.2214, 0.0610, 0.3803), Sc at (0.1355, 0.2282, 0.8060), Cd at (0.4046, 0.6778, 0.4454), Cd at (0.4426, 0.6072, 0.7333) and Cd at (0.5000, 0.5000, 0.0000).


5.
An optimized crystal structure of Zr2Sc3Cd3, computed with PBE-GGA.

The space group is Immm (No. 71) and the conventional cell measures 3.3938, 5.0551 and 21.0183 Å, with angles of 90.00, 90.00 and 90.00 degrees. Symmetry generates all atoms from Zr at (0.0000, 0.0000, 0.2373), Sc at (0.0000, 0.0000, 0.0000), Sc at (0.0000, 0.5000, 0.1303), Cd at (0.0000, 0.0000, 0.5000) and Cd at (0.0000, 0.5000, 0.3838).


6.
An optimized crystal structure of ZrSc3Cd, computed with PBE-GGA.

The space group is Pm-3m (No. 221) and the conventional cell measures 5.2262, 5.2262 and 5.2262 Å, with angles of 90.00, 90.00 and 90.00 degrees. Symmetry generates all atoms from Zr at (0.0000, 0.0000, 0.0000), Sc at (0.0000, 0.5000, 0.5000) and Cd at (0.5000, 0.5000, 0.5000).

The calculation puts the excess energy over the best structure of this formula in the dataset at 796 meV per atom.


7.
An optimized crystal structure of ZrScCd3, computed with PBE-GGA.

The space group is Imma (No. 74) and the conventional cell measures 5.3490, 7.5602 and 11.9931 Å, with angles of 90.00, 90.00 and 90.00 degrees. Symmetry generates all atoms from Zr at (0.0000, 0.0000, 0.0000), Sc at (0.0000, 0.2500, 0.4738), Cd at (0.0000, 0.0675, 0.6847) and Cd at (0.2500, 0.2500, 0.2500).

The calculation puts the excess energy over the best structure of this formula in the dataset at 404 meV per atom.


8.
An optimized crystal structure of ZrSc12Cd3, computed with PBE-GGA.

The space group is P4/mmm (No. 123) and the conventional cell measures 4.5238, 4.5238 and 18.1739 Å, with angles of 90.00, 90.00 and 90.00 degrees. Symmetry generates all atoms from Zr at (0.0000, 0.0000, 0.0000), Sc at (0.0000, 0.5000, 0.1244), Sc at (0.0000, 0.5000, 0.3758), Sc at (0.5000, 0.5000, 0.0000), Sc at (0.5000, 0.5000, 0.2528), Sc at (0.5000, 0.5000, 0.5000), Cd at (0.0000, 0.0000, 0.2536) and Cd at (0.0000, 0.0000, 0.5000).


9.
An optimized crystal structure of Zr4Sc2Cd, computed with PBE-GGA.

The space group is Cmmm (No. 65) and the conventional cell measures 3.1630, 33.1089 and 3.1339 Å, with angles of 90.00, 90.00 and 90.00 degrees. Symmetry generates all atoms from Zr at (0.0000, 0.0688, 0.0000), Zr at (0.0000, 0.3620, 0.5000), Sc at (0.0000, 0.2058, 0.0000) and Cd at (0.0000, 0.5000, 0.5000).

The calculation puts the excess energy over the best structure of this formula in the dataset at 0 meV per atom.


10.
An optimized crystal structure of ZrScCd14, computed with PBE-GGA.

The space group is P4/mmm (No. 123) and the conventional cell measures 6.4365, 6.4365 and 8.4870 Å, with angles of 90.00, 90.00 and 90.00 degrees. Symmetry generates all atoms from Zr at (0.0000, 0.0000, 0.0000), Sc at (0.5000, 0.5000, 0.0000), Cd at (0.0000, 0.0000, 0.5000), Cd at (0.0000, 0.5000, 0.0000), Cd at (0.0000, 0.5000, 0.5000), Cd at (0.2494, 0.2494, 0.2493) and Cd at (0.5000, 0.5000, 0.5000).


11.
An optimized crystal structure of ZrScCd, computed with PBE-GGA.

The space group is P3m1 (No. 156) and the conventional cell measures 3.2203, 3.2203 and 7.7515 Å, with angles of 90.00, 90.00 and 120.00 degrees. Symmetry generates all atoms from Zr at (0.0000, 0.0000, 0.0000), Sc at (0.3333, 0.6667, 0.6750) and Cd at (0.6667, 0.3333, 0.3396).

The calculation puts the excess energy over the best structure of this formula in the dataset at 116 meV per atom.


12.
An optimized crystal structure of ZrSc3Cd6, computed with PBE-GGA.

The space group is P2_1/m (No. 11) and the conventional cell measures 8.6504, 4.9749 and 10.6036 Å, with angles of 90.00, 106.86 and 90.00 degrees. Symmetry generates all atoms from Zr at (0.0512, 0.2500, 0.4029), Sc at (0.2447, 0.2500, 0.0063), Sc at (0.3486, 0.7500, 0.7910), Sc at (0.4534, 0.2500, 0.6067), Cd at (0.0575, 0.7500, 0.8940), Cd at (0.1491, 0.2500, 0.7047), Cd at (0.1500, 0.7500, 0.1920), Cd at (0.2519, 0.7500, 0.4930), Cd at (0.3508, 0.2500, 0.3054) and Cd at (0.4581, 0.7500, 0.0930).


13.
An optimized crystal structure of ZrSc4Cd, computed with PBE-GGA.

The space group is P4/mmm (No. 123) and the conventional cell measures 3.2419, 3.2419 and 13.3863 Å, with angles of 90.00, 90.00 and 90.00 degrees. Symmetry generates all atoms from Zr at (0.0000, 0.0000, 0.0000), Sc at (0.0000, 0.0000, 0.3437), Sc at (0.5000, 0.5000, 0.1656) and Cd at (0.5000, 0.5000, 0.5000).

The calculation puts the excess energy over the best structure of this formula in the dataset at 0 meV per atom.


14.
An optimized crystal structure of ZrSc4Cd3, computed with PBE-GGA.

The space group is P4/mmm (No. 123) and the conventional cell measures 3.2920, 3.2920 and 16.6107 Å, with angles of 90.00, 90.00 and 90.00 degrees. Symmetry generates all atoms from Zr at (0.0000, 0.0000, 0.0000), Sc at (0.5000, 0.5000, 0.1305), Sc at (0.5000, 0.5000, 0.3772), Cd at (0.0000, 0.0000, 0.2557) and Cd at (0.0000, 0.0000, 0.5000).


15.
An optimized crystal structure of ZrSc2Cd8, computed with PBE-GGA.

The space group is Immm (No. 71) and the conventional cell measures 4.8448, 7.1839 and 14.0883 Å, with angles of 90.00, 90.00 and 90.00 degrees. Symmetry generates all atoms from Zr at (0.0000, 0.0000, 0.0000), Sc at (0.0000, 0.0000, 0.3018), Cd at (0.0000, 0.2089, 0.5000), Cd at (0.0000, 0.2908, 0.1436) and Cd at (0.0000, 0.5000, 0.3417).


16.
An optimized crystal structure of ZrSc4Cd, computed with PBE-GGA.

The space group is F-43m (No. 216) and the conventional cell measures 8.2972, 8.2972 and 8.2972 Å, with angles of 90.00, 90.00 and 90.00 degrees. Symmetry generates all atoms from Zr at (0.0000, 0.0000, 0.0000), Sc at (0.1256, 0.1256, 0.3744) and Cd at (0.2500, 0.2500, 0.7500).

The calculation puts the excess energy over the best structure of this formula in the dataset at 302 meV per atom.


17.
An optimized crystal structure of Zr2ScCd2, computed with PBE-GGA.

The space group is P4/mbm (No. 127) and the conventional cell measures 8.7361, 8.7361 and 3.0664 Å, with angles of 90.00, 90.00 and 90.00 degrees. Symmetry generates all atoms from Zr at (0.1194, 0.3806, 0.0000), Sc at (0.0000, 0.0000, 0.0000) and Cd at (0.1770, 0.6770, 0.5000).

The calculation puts the excess energy over the best structure of this formula in the dataset at 257 meV per atom.


18.
An optimized crystal structure of ZrSc4Cd, computed with PBE-GGA.

The space group is C2/m (No. 12) and the conventional cell measures 10.7891, 4.8644 and 6.2572 Å, with angles of 90.00, 121.39 and 90.00 degrees. Symmetry generates all atoms from Zr at (0.0000, 0.0000, 0.0000), Sc at (0.1530, 0.5000, 0.8145), Sc at (0.1884, 0.5000, 0.3293) and Cd at (0.0000, 0.0000, 0.5000).

The calculation puts the excess energy over the best structure of this formula in the dataset at 43 meV per atom.


19.
An optimized crystal structure of ZrSc2Cd4, computed with PBE-GGA.

The space group is Cmmm (No. 65) and the conventional cell measures 8.5352, 9.0097 and 4.3928 Å, with angles of 90.00, 90.00 and 90.00 degrees. Symmetry generates all atoms from Zr at (0.0000, 0.0000, 0.0000), Sc at (0.2220, 0.5000, 0.5000), Cd at (0.0000, 0.2326, 0.5000) and Cd at (0.2500, 0.2500, 0.0000).

The calculation puts the excess energy over the best structure of this formula in the dataset at 0 meV per atom.


20.
An optimized crystal structure of ZrSc14Cd, computed with PBE-GGA.

The space group is Amm2 (No. 38) and the conventional cell measures 9.9078, 7.7421 and 10.0167 Å, with angles of 90.00, 90.00 and 90.00 degrees. Symmetry generates all atoms from Zr at (0.0000, 0.0000, 0.0000), Sc at (0.0000, 0.2096, 0.2666), Sc at (0.2224, 0.0000, 0.7720), Sc at (0.2459, 0.2142, 0.4877), Sc at (0.2711, 0.0000, 0.2084), Sc at (0.5000, 0.0000, 0.4298), Sc at (0.5000, 0.0000, 0.9825), Sc at (0.5000, 0.2008, 0.7116) and Cd at (0.0000, 0.0000, 0.5412).


21.
An optimized crystal structure of CdSe, computed with PBE-GGA.

The space group is P-3m1 (No. 164) and the conventional cell measures 4.5175, 4.5175 and 6.6726 Å, with angles of 90.00, 90.00 and 120.00 degrees. Symmetry generates all atoms from Cd at (0.3333, 0.6667, 0.1744) and Se at (0.3333, 0.6667, 0.7393).

For the formation energy (no corrections), the calculation gives -0.52 eV per atom.


22.
An optimized crystal structure of Cd6Se, computed with PBE-GGA.

The space group is Im-3m (No. 229) and the conventional cell measures 7.9551, 7.9551 and 7.9551 Å, with angles of 90.00, 90.00 and 90.00 degrees. Symmetry generates all atoms from Cd at (0.0000, 0.2500, 0.5000) and Se at (0.0000, 0.0000, 0.0000).

For the formation energy (no corrections), the calculation gives 0.46 eV per atom.


23.
An optimized crystal structure of CdSe, computed with PBE-GGA.

The space group is Pm-3n (No. 223) and the conventional cell measures 7.6204, 7.6204 and 7.6204 Å, with angles of 90.00, 90.00 and 90.00 degrees. Symmetry generates all atoms from Cd at (0.0000, 0.2500, 0.5000) and Se at (0.0000, 0.5000, 0.2500).

For the formation energy (no corrections), the calculation gives -0.56 eV per atom.


Number 1: electronic total energy -5.01 eV/atom. Number 2: electronic total energy -4.62 eV/atom. Number 3: electronic total energy -5.99 eV/atom. Number 4: electronic total energy -4.77 eV/atom. Number 5: electronic total energy -5.03 eV/atom. Number 6: electronic total energy -4.98 eV/atom. Number 7: electronic total energy -3.27 eV/atom. Number 8: electronic total energy -5.54 eV/atom. Number 9: electronic total energy -6.82 eV/atom. Number 10: electronic total energy -1.79 eV/atom. Number 11: electronic total energy -5.33 eV/atom. Number 12: electronic total energy -3.50 eV/atom. Number 13: electronic total energy -5.87 eV/atom. Number 14: electronic total energy -4.79 eV/atom. Number 15: electronic total energy -2.67 eV/atom. Number 16: electronic total energy -5.57 eV/atom. Number 17: electronic total energy -4.93 eV/atom. Number 18: electronic total energy -5.83 eV/atom. Number 19: electronic total energy -3.58 eV/atom. Number 20: electronic total energy -6.12 eV/atom. Number 21: electronic total energy -2.72 eV/atom. Number 22: electronic total energy -0.82 eV/atom. Number 23: electronic total energy -2.76 eV/atom.